Entry 1:
Computed, not measured: a relaxed MgTaS2Cl crystal at the PBE-GGA level of DFT.

Computed properties:
Theoretical density ... 4.975 g/cm³
DOS(E_F) ... 0.646 states/eV per atom
Offset from the most stable computed form ... 0.756 eV/atom
Final energy ... -4.47 eV/atom

CIF file:
```
data_MgTaS2Cl
_symmetry_space_group_name_H-M 'P 4/m m m'
_symmetry_Int_Tables_number 123
_symmetry_space_group_name_Hall '-P 4 2'
_cell_length_a 4.785
_cell_length_b 4.785
_cell_length_c 4.444
_cell_angle_alpha 90.00
_cell_angle_beta 90.00
_cell_angle_gamma 90.00
loop_
_atom_site_label
_atom_site_type_symbol
_atom_site_fract_x
_atom_site_fract_y
_atom_site_fract_z
Mg1 Mg 0.000 0.000 0.000
Ta1 Ta 0.500 0.500 0.500
S1 S 0.000 0.500 0.000
Cl1 Cl 0.000 0.000 0.500
```

Entry 2:
Computed, not measured: a relaxed BaInAgP2 crystal at the PBE-GGA level of DFT.

Computed properties:
Theoretical density ... 5.170 g/cm³
DOS(E_F) ... 0.069 states/eV per atom
Final energy ... -4.11 eV/atom
DFT formation energy ... -0.4406 eV per atom

CIF file:
```
data_BaInAgP2
_symmetry_space_group_name_H-M 'C 1 2/m 1'
_symmetry_Int_Tables_number 12
_cell_length_a 13.453
_cell_length_b 4.365
_cell_length_c 9.353
_cell_angle_alpha 90.00
_cell_angle_beta 99.24
_cell_angle_gamma 90.00
loop_
_symmetry_equiv_pos_as_xyz
'x,y,z'
'-x,-y,-z'
'-x,y,-z'
'x,-y,z'
'x+1/2,y+1/2,z'
'-x+1/2,-y+1/2,-z'
'-x+1/2,y+1/2,-z'
'x+1/2,-y+1/2,z'
loop_
_atom_site_label
_atom_site_type_symbol
_atom_site_fract_x
_atom_site_fract_y
_atom_site_fract_z
Ba1 Ba 0.166 0.000 0.184
In1 In 0.055 0.500 0.692
Ag1 Ag 0.163 0.000 0.565
P1 P 0.126 0.000 0.835
P2 P 0.131 0.500 0.419
```

Entry 3:
Computed, not measured: a relaxed LiYTe2 crystal at the PBE-GGA level of DFT.

Computed properties:
Theoretical density ... 5.054 g/cm³
DOS(E_F) ... 0.027 states/eV per atom
Final energy ... -4.88 eV/atom

CIF file:
```
data_LiYTe2
_symmetry_space_group_name_H-M 'P 4/m m m'
_symmetry_Int_Tables_number 123
_symmetry_space_group_name_Hall '-P 4 2'
_cell_length_a 4.375
_cell_length_b 4.375
_cell_length_c 6.025
_cell_angle_alpha 90.00
_cell_angle_beta 90.00
_cell_angle_gamma 90.00
loop_
_atom_site_label
_atom_site_type_symbol
_atom_site_fract_x
_atom_site_fract_y
_atom_site_fract_z
Li1 Li 0.000 0.000 0.000
Y1 Y 0.500 0.500 0.500
Te1 Te 0.000 0.000 0.500
Te2 Te 0.500 0.500 0.000
```